Al2Si2Br (PBE, relaxed); E_form (uncorrected) = 46 kJ/mol of formula units; crystal system = tetragonal; final energy = -3.91 eV per atom
1.0
-2.508 -4.826 -2.078
-3.190 -2.836 3.959
0.280 5.532 -1.792
Al Si Br
2 2 1
direct
0.250 0.750 0.500
0.750 0.250 0.500
0.621 0.621 0.000
0.379 0.379 0.000
0.000 0.000 0.000